# 1
! K4InCo PBE relaxed; values from VASP
! - SG: F-43m, No. 216
! - DFT formation energy: 18.86 kcal/mol of atoms
&SYSTEM
  ibrav = 0, nat = 6, ntyp = 3
/
ATOMIC_SPECIES
K 39.10 K.upf
In 114.82 In.upf
Co 58.93 Co.upf
CELL_PARAMETERS angstrom
0.0000 5.0620 5.0620
5.0620 0.0000 5.0620
5.0620 5.0620 0.0000
ATOMIC_POSITIONS crystal
K 0.1248 0.1248 0.1248
K 0.1248 0.1248 0.6255
K 0.1248 0.6255 0.1248
K 0.6255 0.1248 0.1248
In 0.5000 0.5000 0.5000
Co 0.7500 0.7500 0.7500

# 2
! NaTb2PaSb4 PBE relaxed; values from VASP
! - SG: P2/m, No. 10
! - E_tot: -5.292 eV/atom
&SYSTEM
  ibrav = 0, nat = 8, ntyp = 4
/
ATOMIC_SPECIES
Na 22.99 Na.upf
Tb 158.93 Tb.upf
Pa 231.04 Pa.upf
Sb 121.76 Sb.upf
CELL_PARAMETERS angstrom
7.5726 0.0000 0.0000
0.0000 4.4288 0.0000
-2.4473 0.0000 7.2589
ATOMIC_POSITIONS crystal
Na 0.0000 0.0000 0.0000
Tb 0.0000 0.5000 0.5000
Tb 0.5000 0.0000 0.5000
Pa 0.5000 0.5000 0.0000
Sb 0.2547 0.0000 0.7539
Sb 0.2622 0.5000 0.2510
Sb 0.7378 0.5000 0.7490
Sb 0.7453 0.0000 0.2461

# 3
! Te2RuSe PBE relaxed; values from VASP
! - SG: Amm2, No. 38
! - E_tot: -4.829 eV/atom
&SYSTEM
  ibrav = 0, nat = 4, ntyp = 3
/
ATOMIC_SPECIES
Te 127.60 Te.upf
Ru 101.07 Ru.upf
Se 78.96 Se.upf
CELL_PARAMETERS angstrom
3.7708 0.0000 0.0000
0.0000 2.6600 4.6446
0.0000 -2.6600 4.6446
ATOMIC_POSITIONS crystal
Te 0.0000 0.0000 0.0000
Te 0.5000 0.2962 0.2962
Ru 0.0000 0.4962 0.4962
Se 0.5000 0.6767 0.6767

| no. | total moment (μB per formula unit) |
| --- | --- |
| 1 | 1.54 |
| 2 | 0.00 |
| 3 | 0.00 |